[1]
VASP calculation (PBE-GGA) on a geometry-optimized TbTm4Hg5 structure.

Structure (POSCAR):
```
TbTm4Hg5
1.0
-1.057 -3.051 1.743
2.980 0.185 2.132
-9.352 10.204 12.183
Hg Tb Tm
5 1 4
direct
0.500 0.500 0.104 Hg
0.500 0.500 0.302 Hg
0.500 0.500 0.500 Hg
0.500 0.500 0.698 Hg
0.500 0.500 0.896 Hg
0.000 0.000 0.000 Tb
0.000 0.000 0.203 Tm
0.000 0.000 0.401 Tm
0.000 0.000 0.599 Tm
0.000 0.000 0.797 Tm
```

Summary:
* formation energy: -479.2 meV per atom
* V: 24.8 Å³ per atom
* total DFT energy (no corrections): -2.8808 eV/atom

---

[2]
VASP calculation (PBE-GGA) on a geometry-optimized TbHgW structure.

Structure (POSCAR):
```
TbHgW
1.0
1.881 -2.580 3.586
-1.818 -4.314 1.064
2.520 -3.971 -0.965
Hg Tb W
1 1 1
direct
0.250 0.250 0.250 Hg
0.750 0.750 0.750 Tb
0.000 0.000 0.000 W
```

Summary:
* formation energy: 1048.5 meV per atom
* V: 26.1 Å³ per atom
* total DFT energy (no corrections): -4.9138 eV/atom

---

[3]
VASP calculation (PBE-GGA) on a geometry-optimized TbY4Hg5 structure.

Structure (POSCAR):
```
TbY4Hg5
1.0
-0.987 -3.435 -1.017
3.581 -0.972 -0.193
-0.439 -5.165 17.871
Hg Tb Y
5 1 4
direct
0.500 0.500 0.100 Hg
0.500 0.500 0.300 Hg
0.500 0.500 0.500 Hg
0.500 0.500 0.700 Hg
0.500 0.500 0.900 Hg
0.000 0.000 0.000 Tb
0.000 0.000 0.200 Y
0.000 0.000 0.400 Y
0.000 0.000 0.600 Y
0.000 0.000 0.800 Y
```

Summary:
* formation energy: -505.9 meV per atom
* V: 25.7 Å³ per atom
* total DFT energy (no corrections): -3.7037 eV/atom

---

Question: Among the records above, which one has the lowest total DFT energy (no corrections)?
Answer: TbHgW

---

Question: Number 3 is which compound?
Answer: TbY4Hg5

---

Question: The highest formation energy belongs to which entry?
Answer: TbHgW